# 1
AcGaAuBr: optimized geometry, PBE.

The space-group type is R-3m. Its energy relative to the elements, uncorrected is -1.03 eV/atom.

Cell and atoms, written as POSCAR:
```
AcGaAuBr
1.0
2.287 1.320 13.884
-2.287 1.320 13.884
0.000 -2.641 13.884
Ac Ga Au Br
2 2 2 2
Direct
0.081 0.081 0.081
0.919 0.919 0.919
0.308 0.308 0.308
0.692 0.692 0.692
0.371 0.371 0.371
0.629 0.629 0.629
0.207 0.207 0.207
0.793 0.793 0.793
```

# 2
MgTiIn3: optimized geometry, PBE.

The space-group type is Pm-3m. The energy of formation comes out at 414 kJ/mol of formula units. For the relative energy among the computed polymorphs, the calculation gives 380 meV per atom.

Cell and atoms, written as POSCAR:
```
MgTiIn3
1.0
5.220 0.000 0.000
0.000 5.220 0.000
0.000 0.000 5.220
Mg Ti In
1 1 3
Direct
0.000 0.000 0.000
0.500 0.500 0.500
0.000 0.000 0.500
0.000 0.500 0.000
0.500 0.000 0.000
```

# 3
Sm3Y7Sc2: optimized geometry, PBE.

The space-group type is P2/m. The energy of formation comes out at 277 kJ/mol of formula units.

Cell and atoms, written as POSCAR:
```
Sm3Y7Sc2
1.0
3.599 0.000 0.000
0.000 5.512 0.000
-1.807 0.000 20.263
Sm Y Sc
3 7 2
Direct
0.000 0.000 0.000
0.330 0.500 0.663
0.670 0.500 0.337
0.090 0.500 0.177
0.215 0.000 0.429
0.430 0.000 0.862
0.500 0.500 0.000
0.570 0.000 0.138
0.785 0.000 0.571
0.910 0.500 0.823
0.140 0.000 0.275
0.860 0.000 0.725
```

# 4
Ta2CoAs: optimized geometry, PBE.

The space-group type is P4mm. The energy of formation comes out at -1 kJ/mol of formula units.

Cell and atoms, written as POSCAR:
```
Ta2CoAs
1.0
2.894 0.000 0.000
0.000 2.894 0.000
0.000 0.000 7.430
Ta Co As
2 1 1
Direct
0.000 0.000 0.000
0.500 0.500 0.305
0.500 0.500 0.747
0.000 0.000 0.576
```

# 5
La2Pm2Y3: optimized geometry, PBE.

The space-group type is P2_1/c. The energy of formation comes out at 107 kJ/mol of formula units. For the relative energy among the computed polymorphs, the calculation gives 100 meV per atom.

Cell and atoms, written as POSCAR:
```
La2Pm2Y3
1.0
6.393 0.000 0.000
0.000 13.142 0.000
-2.312 0.000 5.773
La Pm Y
4 4 6
Direct
0.111 0.202 0.424
0.111 0.298 0.924
0.889 0.702 0.076
0.889 0.798 0.576
0.379 0.689 0.633
0.379 0.811 0.133
0.621 0.189 0.867
0.621 0.311 0.367
0.000 0.000 0.000
0.000 0.500 0.500
0.369 0.547 0.165
0.369 0.953 0.665
0.631 0.047 0.335
0.631 0.453 0.835
```

# 6
Sr2BeCl: optimized geometry, PBE.

The space-group type is Pmmm. For the relative energy among the computed polymorphs, the calculation gives 7 meV per atom. Its energy relative to the elements, uncorrected is -0.57 eV/atom.

Cell and atoms, written as POSCAR:
```
Sr2BeCl
1.0
3.769 0.000 0.000
0.000 3.942 0.000
0.000 0.000 8.428
Sr Be Cl
2 1 1
Direct
0.000 0.000 0.218
0.000 0.000 0.782
0.500 0.500 0.000
0.500 0.000 0.500
```

What E values result from the calculations? In sequence: -32.41 -13.41 -69.19 -35.47 -75.28 -11.23 eV per cell.